Record 1
# Pr2GdBe

A relaxed structure of Pr2GdBe (GGA-PBE, Alexandria).

Summary:
**Mass density**: 6.5 g/cm³
**VASP energy**: -26.85 eV/cell
**Total magnetic moment**: 7.77 μB per formula unit
**Calculated volume**: 114.0 Å³/f.u.
**Space group**: P4/mmm, No. 123
**Distance to the lowest polymorph of the same formula**: 0 meV per atom
**Energy of formation from the pure elements**: 0.13 eV per atom

a = 3.6233 Å, b = 3.6233 Å, c = 8.6799 Å
α = 90.00°, β = 90.00°, γ = 90.00°
Fractional coordinates of all 4 atoms:
Pr  0.0000  0.0000  0.8036
Pr  0.0000  0.0000  0.1964
Be  0.5000  0.5000  0.0000
Gd  0.5000  0.5000  0.5000

Record 2
# PrGd2Be

A relaxed structure of PrGd2Be (GGA-PBE, Alexandria).

Summary:
**Mass density**: 7.1 g/cm³
**VASP energy**: -36.37 eV/cell
**Total magnetic moment**: 14.45 μB per formula unit
**Calculated volume**: 108.8 Å³/f.u.
**Space group**: P4/mmm, No. 123
**Distance to the lowest polymorph of the same formula**: 0 meV per atom
**Energy of formation from the pure elements**: 0.08 eV per atom

a = 3.5161 Å, b = 3.5161 Å, c = 8.8037 Å
α = 90.00°, β = 90.00°, γ = 90.00°
Fractional coordinates of all 4 atoms:
Pr  0.5000  0.5000  0.5000
Be  0.5000  0.5000  0.0000
Gd  0.0000  0.0000  0.8136
Gd  0.0000  0.0000  0.1864